# HgPb2Cl PBE relaxed
data_HgPb2Cl
_cell_length_a 6.760
_cell_length_b 6.760
_cell_length_c 6.760
_cell_angle_alpha 141.82
_cell_angle_beta 141.82
_cell_angle_gamma 55.10
_symmetry_space_group_name_H-M 'P 1'
_symmetry_Int_Tables_number 1
_symmetry_space_group_name_Hall 'P 1'
loop_
_atom_site_label
_atom_site_type_symbol
_atom_site_fract_x
_atom_site_fract_y
_atom_site_fract_z
Hg1 Hg 0.000 0.000 0.000
Pb1 Pb 0.250 0.750 0.500
Pb2 Pb 0.500 0.500 0.000
Cl1 Cl 0.750 0.250 0.500
# - ρ (kg/m³) = 9215
# - formation energy from raw total energies (kJ per mole of atoms) = -19
# - magnetization (μB/cell) = 0.0

***

# HoTaTcRu PBE relaxed
data_HoTaTcRu
_cell_length_a 4.624
_cell_length_b 4.624
_cell_length_c 4.624
_cell_angle_alpha 60.00
_cell_angle_beta 60.00
_cell_angle_gamma 60.00
_symmetry_space_group_name_H-M 'P 1'
_symmetry_Int_Tables_number 1
_symmetry_space_group_name_Hall 'P 1'
loop_
_atom_site_label
_atom_site_type_symbol
_atom_site_fract_x
_atom_site_fract_y
_atom_site_fract_z
Ho1 Ho 0.000 0.000 0.000
Ta1 Ta 0.500 0.500 0.500
Tc1 Tc 0.250 0.250 0.250
Ru1 Ru 0.750 0.750 0.750
# - ρ (kg/m³) = 12944
# - magnetization (μB/cell) = 0.0
# - electronic total energy (eV per formula unit) = -37.20

***

# In2SnGe PBE relaxed
data_In2SnGe
_cell_length_a 7.629
_cell_length_b 7.629
_cell_length_c 7.629
_cell_angle_alpha 31.15
_cell_angle_beta 31.15
_cell_angle_gamma 31.15
_symmetry_space_group_name_H-M 'P 1'
_symmetry_Int_Tables_number 1
_symmetry_space_group_name_Hall 'P 1'
loop_
_atom_site_label
_atom_site_type_symbol
_atom_site_fract_x
_atom_site_fract_y
_atom_site_fract_z
In1 In 0.239 0.239 0.239
In2 In 0.761 0.761 0.761
Sn1 Sn 0.000 0.000 0.000
Ge1 Ge 0.500 0.500 0.500
# - ρ (kg/m³) = 6630
# - magnetization (μB/cell) = 0.0
# - electronic total energy (eV per formula unit) = -13.54

***

# Ga2I3F PBE relaxed
data_Ga2I3F
_cell_length_a 5.334
_cell_length_b 7.915
_cell_length_c 11.627
_cell_angle_alpha 77.30
_cell_angle_beta 76.86
_cell_angle_gamma 86.47
_symmetry_space_group_name_H-M 'P 1'
_symmetry_Int_Tables_number 1
_symmetry_space_group_name_Hall 'P 1'
loop_
_atom_site_label
_atom_site_type_symbol
_atom_site_fract_x
_atom_site_fract_y
_atom_site_fract_z
Ga1 Ga 0.176 0.039 0.409
Ga2 Ga 0.203 0.242 0.115
Ga3 Ga 0.797 0.758 0.885
Ga4 Ga 0.824 0.961 0.591
I1 I 0.182 0.387 0.316
I2 I 0.255 0.748 0.965
I3 I 0.434 0.171 0.617
I4 I 0.566 0.829 0.383
I5 I 0.745 0.252 0.035
I6 I 0.818 0.613 0.684
F1 F 0.129 0.027 0.244
F2 F 0.871 0.973 0.756
# - ρ (kg/m³) = 3840
# - formation energy from raw total energies (kJ per mole of atoms) = -78
# - magnetization (μB/cell) = 0.0

***

# RbCaBr PBE relaxed
data_RbCaBr
_cell_length_a 4.340
_cell_length_b 8.003
_cell_length_c 8.003
_cell_angle_alpha 29.20
_cell_angle_beta 90.00
_cell_angle_gamma 90.00
_symmetry_space_group_name_H-M 'P 1'
_symmetry_Int_Tables_number 1
_symmetry_space_group_name_Hall 'P 1'
loop_
_atom_site_label
_atom_site_type_symbol
_atom_site_fract_x
_atom_site_fract_y
_atom_site_fract_z
Rb1 Rb 0.000 0.000 0.000
Ca1 Ca 0.500 0.279 0.279
Br1 Br 0.500 0.632 0.632
# - ρ (kg/m³) = 2516
# - formation energy from raw total energies (kJ per mole of atoms) = -86
# - magnetization (μB/cell) = 0.0

***

# BePb2Br PBE relaxed
data_BePb2Br
_cell_length_a 6.149
_cell_length_b 6.149
_cell_length_c 6.149
_cell_angle_alpha 147.49
_cell_angle_beta 120.92
_cell_angle_gamma 69.07
_symmetry_space_group_name_H-M 'P 1'
_symmetry_Int_Tables_number 1
_symmetry_space_group_name_Hall 'P 1'
loop_
_atom_site_label
_atom_site_type_symbol
_atom_site_fract_x
_atom_site_fract_y
_atom_site_fract_z
Be1 Be 0.000 0.000 0.000
Pb1 Pb 0.208 0.708 0.500
Pb2 Pb 0.522 0.522 0.000
Br1 Br 0.855 0.355 0.500
# - ρ (kg/m³) = 7907
# - formation energy from raw total energies (kJ per mole of atoms) = 13
# - magnetization (μB/cell) = 0.0